{"formula": "NbPt", "functional": "PBE", "state": "optimized geometry", "lattice_angstrom": [[2.8318, 0.0000, 0.0000], [0.0000, 5.0126, 0.0000], [0.0000, 0.0000, 13.9681]], "species": ["Pt", "Pt", "Pt", "Pt", "Pt", "Pt", "Nb", "Nb", "Nb", "Nb", "Nb", "Nb"], "frac_coords": [[0.5000, 0.1580, 0.0839], [0.5000, 0.4975, 0.2500], [0.5000, 0.5025, 0.7500], [0.5000, 0.1580, 0.4161], [0.5000, 0.8420, 0.9161], [0.5000, 0.8420, 0.5839], [0.0000, 0.3437, 0.9179], [0.0000, 0.6563, 0.0821], [0.0000, 0.0046, 0.7500], [0.0000, 0.3437, 0.5821], [0.0000, 0.9954, 0.2500], [0.0000, 0.6563, 0.4179]], "n_ef_per_ev_cell": 6.5, "delta_e_f_kj_per_mol_atoms": -64, "space_group": "Pmma"}